No. 1
VASP calculation (PBE) on a relaxed structure of Ag4BiSe4.

The structure belongs to space group I-42m (No. 121); the cell edges are 6.2021, 6.2021 and 12.9195 Å and the angles 90.00°, 90.00° and 90.00°. Symmetry generates all atoms from Ag at (0.0000, 0.0000, 0.2369), Ag at (0.0000, 0.5000, 0.0000), Bi at (0.0000, 0.0000, 0.0000) and Se at (0.2333, 0.2333, 0.6295).

The raw formation energy comes out at -0.0148 eV/atom. For the total energy, the calculation gives -3.2619 eV/atom.

=====

No. 2
VASP calculation (PBE) on a relaxed structure of AgBi2Se2.

The structure belongs to space group P4/mbm (No. 127); the cell edges are 8.2996, 8.2996 and 4.0824 Å and the angles 90.00°, 90.00° and 90.00°. Symmetry generates all atoms from Ag at (0.0000, 0.0000, 0.0000), Bi at (0.1921, 0.3079, 0.0000) and Se at (0.1438, 0.6438, 0.5000).

The calculation puts the offset from the most stable computed form at 0.000 eV/atom. The raw formation energy comes out at 0.0001 eV/atom. For the total energy, the calculation gives -3.5164 eV/atom.

=====

No. 3
VASP calculation (PBE) on a relaxed structure of Ag3BiSe4.

The structure belongs to space group I-42m (No. 121); the cell edges are 6.1666, 6.1666 and 12.2758 Å and the angles 90.00°, 90.00° and 90.00°. Symmetry generates all atoms from Ag at (0.0000, 0.0000, 0.0000), Ag at (0.0000, 0.5000, 0.2500), Bi at (0.0000, 0.0000, 0.5000) and Se at (0.2423, 0.2423, 0.8705).

The calculation puts the offset from the most stable computed form at 0.050 eV/atom. The raw formation energy comes out at -0.0860 eV/atom. For the total energy, the calculation gives -3.3826 eV/atom.

=====

No. 4
VASP calculation (PBE) on a relaxed structure of Ag12BiSe6.

The structure belongs to space group R-3 (No. 148, hexagonal axes); the cell edges are 9.5523, 9.5523 and 15.3194 Å and the angles 90.00°, 90.00° and 120.00°. Symmetry generates all atoms from Ag at (0.0711, 0.2058, 0.4029), Ag at (0.0890, 0.2017, 0.7515), Bi at (0.0000, 0.0000, 0.0000) and Se at (0.0463, 0.5989, 0.7704).

The raw formation energy comes out at -0.0209 eV/atom. For the total energy, the calculation gives -3.1264 eV/atom.

=====

No. 5
VASP calculation (PBE) on a relaxed structure of AgBi2Se2.

The structure belongs to space group P4/mbm (No. 127); the cell edges are 8.2113, 8.2113 and 3.9157 Å and the angles 90.00°, 90.00° and 90.00°. Symmetry generates all atoms from Ag at (0.0000, 0.0000, 0.0000), Bi at (0.1669, 0.3331, 0.5000) and Se at (0.1501, 0.6501, 0.0000).

The calculation puts the offset from the most stable computed form at 0.095 eV/atom. The raw formation energy comes out at 0.0953 eV/atom. For the total energy, the calculation gives -3.4212 eV/atom.

=====

No. 6
VASP calculation (PBE) on a relaxed structure of AgBiSe2.

The structure belongs to space group Pnma (No. 62); the cell edges are 7.8425, 4.0996 and 13.1675 Å and the angles 90.00°, 90.00° and 90.00°. Symmetry generates all atoms from Ag at (0.0919, 0.2500, 0.0762), Bi at (0.0592, 0.7500, 0.3508), Se at (0.1048, 0.7500, 0.7640) and Se at (0.2094, 0.2500, 0.5096).

The raw formation energy comes out at -0.2471 eV/atom. For the total energy, the calculation gives -3.6725 eV/atom.

=====

No. 7
VASP calculation (PBE) on a relaxed structure of Ag12Bi3Se5.

The structure belongs to space group Ia-3d (No. 230); the cell edges are 16.0050, 16.0050 and 16.0050 Å and the angles 90.00°, 90.00° and 90.00°. Symmetry generates all atoms from Ag at (0.0229, 0.0739, 0.6498), Bi at (0.0000, 0.2500, 0.1250), Se at (0.0000, 0.0000, 0.0000) and Se at (0.0000, 0.2500, 0.3750).

The raw formation energy comes out at 0.0931 eV/atom. For the total energy, the calculation gives -3.0709 eV/atom.

=====

No. 8
VASP calculation (PBE) on a relaxed structure of AgBi3Se4.

The structure belongs to space group Pmn2_1 (No. 31); the cell edges are 8.9173, 8.9690 and 6.3057 Å and the angles 90.00°, 90.00° and 90.00°. Symmetry generates all atoms from Ag at (0.0000, 0.2353, 0.0000), Bi at (0.0000, 0.8800, 0.5299), Bi at (0.1912, 0.6703, 0.0501), Se at (0.0000, 0.2238, 0.5703), Se at (0.0000, 0.9218, 0.9954) and Se at (0.2267, 0.6669, 0.5967).

The raw formation energy comes out at -0.1573 eV/atom. For the total energy, the calculation gives -3.7113 eV/atom.

=====

Question: The highest raw formation energy belongs to which entry?
Answer: number 5

=====

Question: What is the raw formation energy in the eighth record?
Answer: -0.1573 eV/atom

=====

Question: Which of these has the highest raw formation energy?
Answer: number 5